[1]
{
  "formula": "MnReSeN2",
  "functional": "GGA-PBE",
  "state": "optimized geometry",
  "space_group": "P4/mmm, No. 123",
  "e_form_raw_ev_per_atom": 1.2536,
  "dos_ef_per_ev_cell": 3.042,
  "total_magnetization_mub_per_atom": 0.627,
  "polymorph_energy_ev_per_atom": 0.8433,
  "lattice_angstrom": [[3.6453, 0.0000, 0.0000], [0.0000, 3.6453, 0.0000], [0.0000, 0.0000, 5.1629]],
  "species": ["Re", "Mn", "Se", "N", "N"],
  "frac_coords": [[0.5000, 0.5000, 0.5000], [0.0000, 0.0000, 0.0000], [0.0000, 0.0000, 0.5000], [0.0000, 0.5000, 0.0000], [0.5000, 0.0000, 0.0000]]
}

---

[2]
{
  "formula": "Ce5HPb3",
  "functional": "GGA-PBE",
  "state": "optimized geometry",
  "space_group": "P6_3/mcm, No. 193",
  "total_energy_ev_per_atom": -5.295,
  "dos_ef_per_ev_cell": 56.865,
  "total_magnetization_mub_per_atom": 0.712,
  "lattice_angstrom": [[-3.6412, -3.7360, 3.7791], [-1.2435, -6.0352, -7.1644], [7.2863, -1.1212, 5.9119]],
  "species": ["Ce", "Ce", "Ce", "Ce", "Ce", "Ce", "Ce", "Ce", "Ce", "Ce", "H", "H", "Pb", "Pb", "Pb", "Pb", "Pb", "Pb"],
  "frac_coords": [[0.0000, 0.3333, 0.6667], [0.5000, 0.6667, 0.3333], [0.0000, 0.6667, 0.3333], [0.5000, 0.3333, 0.6667], [0.7500, 0.7650, 0.0000], [0.7500, 0.2350, 0.2350], [0.7500, 0.0000, 0.7650], [0.2500, 0.2350, 0.0000], [0.2500, 0.7650, 0.7650], [0.2500, 0.0000, 0.2350], [0.0000, 0.0000, 0.0000], [0.5000, 0.0000, 0.0000], [0.7500, 0.3928, 0.0000], [0.7500, 0.6072, 0.6072], [0.7500, 0.0000, 0.3928], [0.2500, 0.6072, 0.0000], [0.2500, 0.3928, 0.3928], [0.2500, 0.0000, 0.6072]]
}

---

[3]
{
  "formula": "La4TePS2",
  "functional": "GGA-PBE",
  "state": "optimized geometry",
  "space_group": "P2/m, No. 10",
  "e_form_raw_ev_per_atom": -1.8773,
  "dos_ef_per_ev_cell": 4.032,
  "total_magnetization_mub_per_atom": 0.000,
  "lattice_angstrom": [[-1.8626, 3.8323, 0.1847], [-2.3368, -1.4664, 6.8588], [5.2230, 2.3011, 4.9289]],
  "species": ["La", "La", "La", "La", "Te", "P", "S", "S"],
  "frac_coords": [[0.0000, 0.7701, 0.7228], [0.0000, 0.2299, 0.2772], [0.5000, 0.7550, 0.2669], [0.5000, 0.2450, 0.7331], [0.5000, 0.5000, 0.0000], [0.0000, 0.5000, 0.5000], [0.0000, 0.0000, 0.0000], [0.5000, 0.0000, 0.5000]]
}

---

[4]
{
  "formula": "Pm2Sm4Y2Tm",
  "functional": "GGA-PBE",
  "state": "optimized geometry",
  "space_group": "C2/m, No. 12",
  "dos_ef_per_ev_cell": 11.818,
  "total_magnetization_mub_per_atom": 0.000,
  "formation_enthalpy_0k_ev_per_atom": 0.005,
  "lattice_angstrom": [[3.6418, 0.0000, 0.0000], [-1.8209, 9.4129, -0.5275], [0.0000, -3.6923, 8.9359]],
  "species": ["Pm", "Pm", "Sm", "Sm", "Sm", "Sm", "Y", "Y", "Tm"],
  "frac_coords": [[0.3346, 0.6692, 0.0007], [0.6654, 0.3308, 0.9993], [0.8147, 0.6295, 0.6667], [0.1853, 0.3705, 0.3333], [0.5185, 0.0370, 0.3324], [0.4815, 0.9630, 0.6676], [0.8526, 0.7052, 0.3336], [0.1474, 0.2948, 0.6664], [0.0000, 0.0000, 0.0000]]
}